No. 1
YCd2IrO6 after structural relaxation, computed with GGA-PBE.

Cell and atoms, written as POSCAR:
```
YCd2IrO6
1.0
-5.3763 0.8803 1.4652
-0.8259 -5.6444 0.3608
2.1599 0.1827 7.8014
Y Cd Ir O
2 4 2 12
Direct
0.5000 0.0000 0.0000
0.0000 0.5000 0.5000
0.0056 0.9579 0.2528
0.5056 0.5421 0.7528
0.9944 0.0421 0.7472
0.4944 0.4579 0.2472
0.5000 0.0000 0.5000
0.0000 0.5000 0.0000
0.2919 0.6759 0.0548
0.7919 0.8241 0.5548
0.7081 0.3241 0.9452
0.2081 0.1759 0.4452
0.3317 0.7105 0.4365
0.8317 0.7895 0.9365
0.6683 0.2895 0.5635
0.1683 0.2105 0.0635
0.8899 0.5582 0.2309
0.3899 0.9418 0.7309
0.1101 0.4418 0.7691
0.6101 0.0582 0.2691
```

Magnetic moment   4.05 μB/cell
V   13.05 Å³/atom
Raw total energy   -6.202 eV per atom



No. 2
Y2CdIrO after structural relaxation, computed with GGA-PBE.

Cell and atoms, written as POSCAR:
```
Y2CdIrO
1.0
5.5609 0.0000 0.0000
0.0000 4.7443 0.0000
0.0000 0.0000 5.5609
Y Ir O Cd
2 1 1 1
Direct
0.0000 0.0000 0.5000
0.5000 0.0000 0.0000
0.0000 0.5000 0.0000
0.5000 0.5000 0.5000
0.0000 0.0000 0.0000
```

Magnetic moment   0.00 μB/cell
V   29.34 Å³/atom
Raw total energy   -4.644 eV per atom



No. 3
ZrCdIrO6 after structural relaxation, computed with GGA-PBE.

Cell and atoms, written as POSCAR:
```
ZrCdIrO6
1.0
5.3840 0.0000 0.0000
-2.6920 4.6627 0.0000
0.0000 0.0000 9.6007
Zr Cd Ir O
2 2 2 12
Direct
0.3333 0.6667 0.2500
0.6667 0.3333 0.7500
0.0000 0.0000 0.0000
0.0000 0.0000 0.5000
0.6667 0.3333 0.2500
0.3333 0.6667 0.7500
0.6492 0.6271 0.1367
0.9779 0.3508 0.1367
0.3508 0.9779 0.6367
0.0221 0.6492 0.8633
0.3729 0.3508 0.3633
0.9779 0.6271 0.3633
0.6271 0.9779 0.8633
0.6492 0.0221 0.3633
0.0221 0.3729 0.6367
0.3729 0.0221 0.1367
0.6271 0.6492 0.6367
0.3508 0.3729 0.8633
```

Magnetic moment   5.14 μB/cell
V   13.39 Å³/atom
Raw total energy   -6.862 eV per atom



No. 4
Cd2IrOs after structural relaxation, computed with GGA-PBE.

Cell and atoms, written as POSCAR:
```
Cd2IrOs
1.0
9.5504 -0.0020 -0.0011
9.1193 2.8370 -0.0011
9.1193 1.3848 2.4761
Ir Os Cd
1 1 2
Direct
0.2500 0.2500 0.2500
0.7500 0.7500 0.7500
0.9994 0.9994 0.9994
0.5006 0.5006 0.5006
```

Magnetic moment   0.25 μB/cell
Formation enthalpy at 0 K   468 meV per atom
V   16.79 Å³/atom
Raw total energy   -5.012 eV per atom
Distance to the lowest polymorph of the same formula   287.2 meV/atom



No. 5
Cd2IrOs after structural relaxation, computed with GGA-PBE.

Cell and atoms, written as POSCAR:
```
Cd2IrOs
1.0
2.8351 -0.0078 0.0000
-1.4251 2.4509 0.0000
0.0000 0.0000 10.0568
Ir Os Cd
1 1 2
Direct
0.0000 0.0000 0.5150
0.5000 0.5000 0.7340
0.0000 0.0000 0.9848
0.5000 0.5000 0.2663
```

Magnetic moment   0.19 μB/cell
Formation enthalpy at 0 K   444 meV per atom
V   17.44 Å³/atom
Raw total energy   -5.036 eV per atom
Distance to the lowest polymorph of the same formula   263.1 meV/atom



No. 6
Cd2IrOs after structural relaxation, computed with GGA-PBE.

Cell and atoms, written as POSCAR:
```
Cd2IrOs
1.0
-0.4939 -2.3420 1.4893
0.1995 -2.3386 -3.6114
5.5224 -0.6875 0.7503
Ir Os Cd
1 1 2
Direct
0.5000 0.5000 0.2500
0.5000 0.5000 0.7500
0.0000 0.0000 0.0010
0.0000 0.0000 0.4990
```

Magnetic moment   0.00 μB/cell
Formation enthalpy at 0 K   602 meV per atom
V   17.05 Å³/atom
Raw total energy   -4.878 eV per atom
Distance to the lowest polymorph of the same formula   421.3 meV/atom